# 1
AuBr3 GGA-PBEsol optimized geometry; formation energy without anion corrections = -0.106 eV per atom; calculated volume = 961.03 Å³ per cell
1.0
-2.810 5.696 1.436
-3.185 -2.912 -6.401
-13.825 -9.661 11.273
Br Au
24 8
direct
0.358 0.296 0.144
0.984 0.788 0.185
0.000 0.711 0.732
0.300 0.244 0.478
0.700 0.756 0.522
0.858 0.796 0.356
0.200 0.727 0.566
0.656 0.241 0.604
0.300 0.773 0.066
0.000 0.289 0.268
0.156 0.741 0.896
0.142 0.204 0.644
0.844 0.259 0.104
0.500 0.789 0.232
0.642 0.704 0.856
0.016 0.212 0.815
0.700 0.227 0.934
0.800 0.744 0.022
0.500 0.211 0.768
0.484 0.288 0.315
0.800 0.273 0.434
0.200 0.256 0.978
0.344 0.759 0.396
0.516 0.712 0.685
0.171 0.782 0.289
0.975 0.241 0.537
0.025 0.759 0.463
0.329 0.718 0.789
0.829 0.218 0.711
0.475 0.741 0.963
0.525 0.259 0.037
0.671 0.282 0.211

# 2
AuBr GGA-PBEsol optimized geometry; formation energy without anion corrections = -0.005 eV per atom; calculated volume = 220.97 Å³ per cell; DOS(E_F) = 0.0 states/eV per cell
1.0
-5.740 1.961 -2.817
2.455 -5.896 -1.985
-0.214 -1.502 6.514
Br Au
4 4
direct
0.000 0.309 0.309
0.500 0.441 0.941
0.000 0.691 0.691
0.500 0.059 0.559
0.250 0.875 0.125
0.250 0.375 0.125
0.750 0.875 0.625
0.750 0.875 0.125